1.
# PuV2H8 PBE-GGA optimized geometry
data_PuV2H8
_symmetry_space_group_name_H-M 'C 1 2/m 1'
_symmetry_Int_Tables_number 12
_cell_length_a 5.414
_cell_length_b 8.588
_cell_length_c 3.445
_cell_angle_alpha 90.00
_cell_angle_beta 94.34
_cell_angle_gamma 90.00
loop_
_symmetry_equiv_pos_as_xyz
'x,y,z'
'-x,-y,-z'
'-x,y,-z'
'x,-y,z'
'x+1/2,y+1/2,z'
'-x+1/2,-y+1/2,-z'
'-x+1/2,y+1/2,-z'
'x+1/2,-y+1/2,z'
loop_
_atom_site_label
_atom_site_fract_x
_atom_site_fract_y
_atom_site_fract_z
Pu1 0.000 0.000 0.000
V1 0.000 0.330 0.500
H1 0.000 0.265 0.000
H2 0.094 0.500 0.769
H3 0.171 0.145 0.527
# Energy, eV/atom: -5.56
# Calculated density, g/cm³: 7.36

***

2.
# Pu2VH PBE-GGA optimized geometry
data_Pu2VH
_symmetry_space_group_name_H-M 'R -3 m'
_symmetry_Int_Tables_number 166
_symmetry_space_group_name_Hall '-R 3 2"'
_cell_length_a 2.6640
_cell_length_b 2.6640
_cell_length_c 26.2269
_cell_angle_alpha 90.00
_cell_angle_beta 90.00
_cell_angle_gamma 120.00
loop_
_atom_site_label
_atom_site_fract_x
_atom_site_fract_y
_atom_site_fract_z
Pu1 0.0000 0.0000 0.1013
V1 0.0000 0.0000 0.0000
H1 0.0000 0.0000 0.5000
# Energy, eV/atom: -9.77
# Calculated density, g/cm³: 16.69

***

3.
# PuV3H6 PBE-GGA optimized geometry
data_PuV3H6
_symmetry_space_group_name_H-M 'P 1'
_symmetry_Int_Tables_number 1
_cell_length_a 4.754
_cell_length_b 4.755
_cell_length_c 4.757
_cell_angle_alpha 63.31
_cell_angle_beta 63.23
_cell_angle_gamma 63.17
loop_
_symmetry_equiv_pos_as_xyz
'x,y,z'
loop_
_atom_site_label
_atom_site_fract_x
_atom_site_fract_y
_atom_site_fract_z
Pu1 0.000 0.000 0.000
V1 0.254 0.255 0.255
V2 0.498 0.498 0.498
V3 0.751 0.751 0.751
H1 0.098 0.579 0.438
H2 0.134 0.520 0.878
H3 0.438 0.099 0.577
H4 0.520 0.878 0.134
H5 0.577 0.439 0.098
H6 0.878 0.133 0.521
# Energy, eV/atom: -6.29
# Calculated density, g/cm³: 8.21

***

Q: The highest calculated density belongs to which entry?
A: Pu2VH